DFT (GGA-PBE) results for crystalline HfTaAl at its relaxed geometry.

Lattice parameters (Å, degrees): 4.7431 4.7431 2.8723 90.00 90.00 120.00
Space group P-6m2 (No. 187)
Inequivalent atoms, fractional coordinates:
Hf 0.0000 0.0000 0.0000 (multiplicity 1)
Ta 0.3333 0.6667 0.0000 (multiplicity 1)
Al 0.6667 0.3333 0.5000 (multiplicity 1)

Values from the calculation:
The calculation puts the density of states at the Fermi level at 1.1335 states/eV/atom. The total energy comes out at -25.311 eV per cell. The value obtained for the mass density is 11.47 g/cm³. The calculation puts the energy above the most stable polymorph in this dataset at 291 meV/atom. The magnetic moment comes out at 0.00 μB/cell. As for the crystal system: hexagonal. For the formation energy, the calculation gives 0.08 eV per atom.